# Ba2CrPdRu (PBE, optimized geometry)
# DFT formation energy   0.677 eV/atom
# Space-group type   P4/mmm (123)
data_Ba2CrPdRu
_cell_length_a 6.1167
_cell_length_b 4.3291
_cell_length_c 6.1167
_cell_angle_alpha 90.00
_cell_angle_beta 90.00
_cell_angle_gamma 90.00
_symmetry_space_group_name_H-M 'P 1'
_symmetry_Int_Tables_number 1
_symmetry_space_group_name_Hall 'P 1'
loop_
_atom_site_label
_atom_site_type_symbol
_atom_site_fract_x
_atom_site_fract_y
_atom_site_fract_z
Ru1 Ru 0.0000 0.5000 0.0000
Ba1 Ba 0.0000 0.0000 0.5000
Ba2 Ba 0.5000 0.0000 0.0000
Pd1 Pd 0.5000 0.5000 0.5000
Cr1 Cr 0.0000 0.0000 0.0000


# TbScCuSn (PBE, optimized geometry)
# DFT formation energy   -0.414 eV/atom
# Space-group type   F-43m (216)
data_TbScCuSn
_cell_length_a 5.0099
_cell_length_b 5.0099
_cell_length_c 5.0099
_cell_angle_alpha 60.00
_cell_angle_beta 60.00
_cell_angle_gamma 60.00
_symmetry_space_group_name_H-M 'P 1'
_symmetry_Int_Tables_number 1
_symmetry_space_group_name_Hall 'P 1'
loop_
_atom_site_label
_atom_site_type_symbol
_atom_site_fract_x
_atom_site_fract_y
_atom_site_fract_z
Sc1 Sc 0.0000 0.0000 0.0000
Tb1 Tb 0.5000 0.5000 0.5000
Sn1 Sn 0.2500 0.2500 0.2500
Cu1 Cu 0.7500 0.7500 0.7500


# ScReAg2 (PBE, optimized geometry)
# DFT formation energy   0.466 eV/atom
# Excess energy over the best structure of this formula in the dataset   1.08 eV/f.u.
# Space-group type   P4/mmm (123)
data_ScReAg2
_cell_length_a 3.5433
_cell_length_b 3.5433
_cell_length_c 5.6467
_cell_angle_alpha 90.00
_cell_angle_beta 90.00
_cell_angle_gamma 90.00
_symmetry_space_group_name_H-M 'P 1'
_symmetry_Int_Tables_number 1
_symmetry_space_group_name_Hall 'P 1'
loop_
_atom_site_label
_atom_site_type_symbol
_atom_site_fract_x
_atom_site_fract_y
_atom_site_fract_z
Ag1 Ag 0.0000 0.0000 0.0084
Ag2 Ag 0.0000 0.0000 0.4916
Re1 Re 0.5000 0.5000 0.2500
Sc1 Sc 0.5000 0.5000 0.7500